1.
VASP calculation (SCAN) on a crystal of NbAlAg2Pd relaxed with PBEsol.

Lattice parameters (Å, degrees): 4.877 4.877 4.422 90.00 90.00 90.00
Sites, in units of the cell vectors:
Nb 0.000 0.000 0.000
Al 0.500 0.500 0.000
Ag 0.000 0.500 0.500
Ag 0.500 0.000 0.500
Pd 0.500 0.500 0.500

Computed properties:
As for the space group: P4/mmm, No. 123. As for the energy of formation from the pure elements: 0.806 eV/atom.

2.
VASP calculation (SCAN) on a crystal of ReAg2Hg relaxed with PBEsol.

Lattice parameters (Å, degrees): 4.984 4.984 5.207 97.58 97.58 31.51
Sites, in units of the cell vectors:
Re 0.000 0.000 0.000
Ag 0.497 0.497 0.491
Ag 0.745 0.745 0.259
Hg 0.251 0.251 0.770

Computed properties:
As for the space group: Cm, No. 8. As for the energy of formation from the pure elements: 0.706 eV/atom.

3.
VASP calculation (SCAN) on a crystal of Zr2CuHg relaxed with PBEsol.

Lattice parameters (Å, degrees): 3.397 3.397 6.575 90.00 90.00 90.00
Sites, in units of the cell vectors:
Zr 0.000 0.000 0.000
Zr 0.500 0.500 0.293
Cu 0.000 0.000 0.517
Hg 0.500 0.500 0.738

Computed properties:
As for the space group: P4mm, No. 99. As for the energy of formation from the pure elements: -0.197 eV/atom.

4.
VASP calculation (SCAN) on a crystal of LiZnIn2 relaxed with PBEsol.

Lattice parameters (Å, degrees): 3.075 3.075 8.358 90.00 90.00 90.00
Sites, in units of the cell vectors:
Li 0.000 0.000 0.000
Zn 0.000 0.000 0.500
In 0.500 0.500 0.258
In 0.500 0.500 0.742

Computed properties:
As for the space group: P4/mmm, No. 123. As for the energy of formation from the pure elements: -0.109 eV/atom.

5.
VASP calculation (SCAN) on a crystal of CoTe3Ir relaxed with PBEsol.

Lattice parameters (Å, degrees): 4.773 4.773 4.773 90.00 90.00 90.00
Sites, in units of the cell vectors:
Co 0.000 0.000 0.000
Te 0.000 0.000 0.500
Te 0.000 0.500 0.000
Te 0.500 0.000 0.000
Ir 0.500 0.500 0.500

Computed properties:
As for the space group: Pm-3m, No. 221. The energy relative to the elements, uncorrected comes out at 1.062 eV per atom.

6.
VASP calculation (SCAN) on a crystal of CaIn2Pt relaxed with PBEsol.

Lattice parameters (Å, degrees): 5.624 5.624 7.779 90.00 90.00 134.29
Sites, in units of the cell vectors:
Ca 0.068 0.932 0.750
Ca 0.932 0.068 0.250
In 0.357 0.643 0.552
In 0.357 0.643 0.948
In 0.643 0.357 0.052
In 0.643 0.357 0.448
Pt 0.217 0.783 0.250
Pt 0.783 0.217 0.750

Computed properties:
As for the space group: Cmcm, No. 63. As for the energy of formation from the pure elements: -0.859 eV/atom.

7.
VASP calculation (SCAN) on a crystal of Be3Fe5 relaxed with PBEsol.

Lattice parameters (Å, degrees): 6.306 6.306 4.390 90.00 90.00 120.00
Sites, in units of the cell vectors:
Be 0.000 0.403 0.250
Be 0.000 0.597 0.750
Be 0.403 0.000 0.250
Be 0.403 0.403 0.750
Be 0.597 0.000 0.750
Be 0.597 0.597 0.250
Fe 0.000 0.240 0.750
Fe 0.000 0.760 0.250
Fe 0.240 0.000 0.750
Fe 0.240 0.240 0.250
Fe 0.333 0.667 0.000
Fe 0.333 0.667 0.500
Fe 0.667 0.333 0.000
Fe 0.667 0.333 0.500
Fe 0.760 0.000 0.250
Fe 0.760 0.760 0.750

Computed properties:
As for the space group: P6_3/mcm, No. 193. As for the energy of formation from the pure elements: -0.090 eV/atom.

8.
VASP calculation (SCAN) on a crystal of MgCdHg2 relaxed with PBEsol.

Lattice parameters (Å, degrees): 5.466 5.466 5.466 133.44 133.44 67.97
Sites, in units of the cell vectors:
Mg 0.000 0.000 0.000
Cd 0.750 0.250 0.500
Hg 0.250 0.750 0.500
Hg 0.500 0.500 0.000

Computed properties:
As for the space group: I-4m2, No. 119. As for the energy of formation from the pure elements: -0.122 eV/atom.

9.
VASP calculation (SCAN) on a crystal of Cd2SnOs2 relaxed with PBEsol.

Lattice parameters (Å, degrees): 6.984 6.984 6.984 147.90 147.90 46.03
Sites, in units of the cell vectors:
Cd 0.250 0.750 0.500
Cd 0.750 0.250 0.500
Sn 0.000 0.000 0.000
Os 0.409 0.409 0.000
Os 0.591 0.591 0.000

Computed properties:
As for the space group: I4/mmm, No. 139. As for the energy of formation from the pure elements: 0.955 eV/atom.

10.
VASP calculation (SCAN) on a crystal of Zn2Te relaxed with PBEsol.

Lattice parameters (Å, degrees): 5.615 5.615 5.615 120.76 120.76 88.69
Sites, in units of the cell vectors:
Zn 0.161 0.661 0.823
Zn 0.339 0.161 0.500
Zn 0.661 0.839 0.500
Zn 0.839 0.339 0.177
Te 0.250 0.250 0.000
Te 0.750 0.750 0.000

Computed properties:
As for the space group: I4/mcm, No. 140. The energy relative to the elements, uncorrected comes out at 0.044 eV per atom.

11.
VASP calculation (SCAN) on a crystal of FeSb6Pd relaxed with PBEsol.

Lattice parameters (Å, degrees): 7.919 7.919 9.174 125.11 125.11 70.47
Sites, in units of the cell vectors:
Fe 0.000 0.500 0.000
Fe 0.500 0.000 0.000
Sb 0.148 0.832 0.152
Sb 0.168 0.852 0.848
Sb 0.180 0.507 0.333
Sb 0.324 0.324 0.984
Sb 0.351 0.351 0.698
Sb 0.493 0.820 0.667
Sb 0.507 0.180 0.333
Sb 0.649 0.649 0.302
Sb 0.676 0.676 0.016
Sb 0.820 0.493 0.667
Sb 0.832 0.148 0.152
Sb 0.852 0.168 0.848
Pd 0.000 0.500 0.500
Pd 0.500 0.000 0.500

Computed properties:
As for the space group: C2/m, No. 12. The energy relative to the elements, uncorrected comes out at -0.196 eV per atom.

12.
VASP calculation (SCAN) on a crystal of BeCu2Au relaxed with PBEsol.

Lattice parameters (Å, degrees): 4.782 4.782 4.782 144.76 130.68 62.06
Sites, in units of the cell vectors:
Be 0.000 0.000 0.000
Cu 0.224 0.724 0.500
Cu 0.776 0.276 0.500
Au 0.500 0.500 0.000

Computed properties:
As for the space group: Immm, No. 71. As for the energy of formation from the pure elements: -0.155 eV/atom.

13.
VASP calculation (SCAN) on a crystal of ZnCr3Ge relaxed with PBEsol.

Lattice parameters (Å, degrees): 4.439 4.439 4.439 90.00 90.00 90.00
Sites, in units of the cell vectors:
Zn 0.000 0.000 0.000
Cr 0.000 0.000 0.500
Cr 0.000 0.500 0.000
Cr 0.500 0.000 0.000
Ge 0.500 0.500 0.500

Computed properties:
As for the space group: Pm-3m, No. 221. As for the energy of formation from the pure elements: 1.093 eV/atom.

14.
VASP calculation (SCAN) on a crystal of TeP2Os relaxed with PBEsol.

Lattice parameters (Å, degrees): 6.824 6.824 6.824 153.15 149.05 41.42
Sites, in units of the cell vectors:
Te 0.000 0.000 0.000
P 0.683 0.683 0.000
P 0.801 0.301 0.500
Os 0.342 0.842 0.500

Computed properties:
As for the space group: Imm2, No. 44. The energy relative to the elements, uncorrected comes out at 0.301 eV per atom.

15.
VASP calculation (SCAN) on a crystal of CrRhW2 relaxed with PBEsol.

Lattice parameters (Å, degrees): 3.861 3.861 3.790 90.00 90.00 90.00
Sites, in units of the cell vectors:
Cr 0.000 0.000 0.000
Rh 0.500 0.500 0.000
W 0.000 0.500 0.500
W 0.500 0.000 0.500

Computed properties:
As for the space group: P4/mmm, No. 123. As for the energy of formation from the pure elements: 0.169 eV/atom.

16.
VASP calculation (SCAN) on a crystal of Sc2CuAu relaxed with PBEsol.

Lattice parameters (Å, degrees): 3.245 4.627 4.744 90.00 90.00 90.00
Sites, in units of the cell vectors:
Sc 0.000 0.000 0.000
Sc 0.000 0.500 0.468
Cu 0.500 0.500 0.941
Au 0.500 0.000 0.519

Computed properties:
As for the space group: Pmm2, No. 25. As for the energy of formation from the pure elements: -0.720 eV/atom.

17.
VASP calculation (SCAN) on a crystal of ScNi6Rh relaxed with PBEsol.

Lattice parameters (Å, degrees): 6.242 6.242 10.191 90.00 90.00 109.73
Sites, in units of the cell vectors:
Sc 0.000 0.000 0.250
Sc 0.000 0.000 0.750
Sc 0.248 0.752 0.000
Sc 0.752 0.248 0.000
Ni 0.000 0.000 0.000
Ni 0.000 0.000 0.500
Ni 0.129 0.382 0.377
Ni 0.129 0.382 0.623
Ni 0.132 0.379 0.128
Ni 0.132 0.379 0.872
Ni 0.253 0.747 0.256
Ni 0.253 0.747 0.744
Ni 0.379 0.132 0.128
Ni 0.379 0.132 0.872
Ni 0.382 0.129 0.377
Ni 0.382 0.129 0.623
Ni 0.500 0.500 0.000
Ni 0.500 0.500 0.500
Ni 0.618 0.871 0.377
Ni 0.618 0.871 0.623
Ni 0.621 0.868 0.128
Ni 0.621 0.868 0.872
Ni 0.747 0.253 0.256
Ni 0.747 0.253 0.744
Ni 0.868 0.621 0.128
Ni 0.868 0.621 0.872
Ni 0.871 0.618 0.377
Ni 0.871 0.618 0.623
Rh 0.241 0.759 0.500
Rh 0.500 0.500 0.252
Rh 0.500 0.500 0.748
Rh 0.759 0.241 0.500

Computed properties:
As for the space group: Cmmm, No. 65. As for the energy of formation from the pure elements: -0.149 eV/atom.

18.
VASP calculation (SCAN) on a crystal of ScCo2Hg relaxed with PBEsol.

Lattice parameters (Å, degrees): 3.890 5.158 5.158 36.34 90.00 90.00
Sites, in units of the cell vectors:
Sc 0.000 0.000 0.000
Co 0.000 0.284 0.284
Co 0.500 0.399 0.399
Hg 0.500 0.674 0.674

Computed properties:
As for the space group: Amm2, No. 38. As for the energy of formation from the pure elements: 0.007 eV/atom.

19.
VASP calculation (SCAN) on a crystal of TlIrS3 relaxed with PBEsol.

Lattice parameters (Å, degrees): 4.914 4.914 4.914 90.00 90.00 90.00
Sites, in units of the cell vectors:
Tl 0.000 0.000 0.000
Ir 0.500 0.500 0.500
S 0.000 0.000 0.500
S 0.000 0.500 0.000
S 0.500 0.000 0.000

Computed properties:
As for the space group: Pm-3m, No. 221. The energy relative to the elements, uncorrected comes out at 1.795 eV per atom.

20.
VASP calculation (SCAN) on a crystal of Lu3In relaxed with PBEsol.

Lattice parameters (Å, degrees): 6.620 6.620 5.365 90.00 90.00 120.00
Sites, in units of the cell vectors:
Lu 0.169 0.339 0.250
Lu 0.169 0.831 0.250
Lu 0.339 0.169 0.750
Lu 0.661 0.831 0.250
Lu 0.831 0.169 0.750
Lu 0.831 0.661 0.750
In 0.333 0.667 0.750
In 0.667 0.333 0.250

Computed properties:
As for the space group: P6_3/mmc, No. 194. As for the energy of formation from the pure elements: -0.339 eV/atom.

21.
VASP calculation (SCAN) on a crystal of Li2ZrPb relaxed with PBEsol.

Lattice parameters (Å, degrees): 3.115 4.476 5.926 90.00 90.00 90.00
Sites, in units of the cell vectors:
Li 0.000 0.000 0.243
Li 0.000 0.000 0.757
Zr 0.500 0.500 0.500
Pb 0.500 0.500 0.000

Computed properties:
As for the space group: Pmmm, No. 47. As for the energy of formation from the pure elements: -0.075 eV/atom.

22.
VASP calculation (SCAN) on a crystal of Ag2Se relaxed with PBEsol.

Lattice parameters (Å, degrees): 4.667 4.667 5.775 90.00 90.00 120.00
Sites, in units of the cell vectors:
Ag 0.000 0.000 0.000
Ag 0.000 0.000 0.500
Ag 0.333 0.667 0.250
Ag 0.667 0.333 0.750
Se 0.333 0.667 0.750
Se 0.667 0.333 0.250

Computed properties:
As for the space group: P6_3/mmc, No. 194. The energy relative to the elements, uncorrected comes out at -0.003 eV per atom.

23.
VASP calculation (SCAN) on a crystal of CaTl2Os relaxed with PBEsol.

Lattice parameters (Å, degrees): 4.391 4.391 4.338 90.00 90.00 90.00
Sites, in units of the cell vectors:
Ca 0.000 0.000 0.000
Tl 0.000 0.500 0.500
Tl 0.500 0.000 0.500
Os 0.500 0.500 0.000

Computed properties:
As for the space group: P4/mmm, No. 123. As for the energy of formation from the pure elements: 0.488 eV/atom.

24.
VASP calculation (SCAN) on a crystal of LaPRh relaxed with PBEsol.

Lattice parameters (Å, degrees): 7.665 7.665 7.665 149.01 149.01 44.40
Sites, in units of the cell vectors:
La 0.000 0.000 0.000
La 0.750 0.250 0.500
P 0.170 0.670 0.500
P 0.420 0.420 0.000
Rh 0.337 0.837 0.500
Rh 0.587 0.587 0.000

Computed properties:
As for the space group: I4_1md, No. 109. As for the energy of formation from the pure elements: -1.404 eV/atom.

25.
VASP calculation (SCAN) on a crystal of Tl4GeS4 relaxed with PBEsol.

Lattice parameters (Å, degrees): 8.347 8.347 7.549 106.76 106.76 83.52
Sites, in units of the cell vectors:
Tl 0.005 0.995 0.500
Tl 0.193 0.618 0.530
Tl 0.200 0.460 0.006
Tl 0.460 0.200 0.506
Tl 0.580 0.811 0.586
Tl 0.618 0.193 0.030
Tl 0.811 0.580 0.086
Tl 0.995 0.005 0.000
Ge 0.412 0.829 0.049
Ge 0.829 0.412 0.549
S 0.001 0.294 0.367
S 0.252 0.818 0.235
S 0.294 0.001 0.867
S 0.458 0.573 0.870
S 0.573 0.458 0.370
S 0.654 0.932 0.244
S 0.818 0.252 0.735
S 0.932 0.654 0.744

Computed properties:
As for the space group: Cc, No. 9. The energy relative to the elements, uncorrected comes out at -0.463 eV per atom.